Pr3Al2In3 | PBE | relaxed

Cell lengths 4.648, 6.276, 15.922 Å; angles 90.00, 90.00, 111.74 degrees
Each line ends with the local moment (μB).
Fractional positions:
Pr1 0.927 0.854 0.389  0.08
Pr2 0.073 0.146 0.889  0.08
Pr3 0.927 0.854 0.111  0.08
Pr4 0.073 0.146 0.611  0.08
Pr5 0.647 0.293 0.250  0.11
Pr6 0.353 0.707 0.750  0.11
Al1 0.782 0.564 0.891  0.00
Al2 0.218 0.436 0.391  0.00
Al3 0.782 0.564 0.609  0.00
Al4 0.218 0.436 0.109  0.00
In1 0.627 0.254 0.462  0.00
In2 0.373 0.746 0.962  0.00
In3 0.627 0.254 0.038  0.00
In4 0.373 0.746 0.538  0.00
In5 0.365 0.731 0.250  0.01
In6 0.635 0.269 0.750  0.01

Summary:
Fermi-level density of states in states/eV per cell: 14.0
SG: Cmcm, No. 63
Energy of formation from the pure elements in meV/atom: -462